Entry 1:
A plane-wave DFT calculation with GGA-PBE was carried out for a relaxed structure of Re2NiAg.

Lattice parameters (Å, degrees): 4.9232 4.9232 4.6594 101.85 101.85 32.01
Closest atoms and distances in Å follow each position.
Fractional positions:
Re (0.2359, 0.2359, 0.2371)  3 Ni 2.64-2.94, 6 Re 2.65-2.76, 3 Ag 2.77-2.88
Re (0.7641, 0.7641, 0.7629)  3 Ni 2.64-2.94, 6 Re 2.65-2.76, 3 Ag 2.77-2.88
Ni (0.5000, 0.5000, 0.0000)  6 Re 2.64-2.94, 4 Ag 2.70, 2 Ni 2.71
Ag (0.0000, 0.0000, 0.5000)  4 Ni 2.70, 2 Ag 2.71, 6 Re 2.77-2.88

Values from the calculation:
E above lowest polymorph (eV per formula unit): 0.40

Entry 2:
A plane-wave DFT calculation with GGA-PBE was carried out for a relaxed structure of Re2NiAg.

Lattice parameters (Å, degrees): 4.9621 4.9621 4.9621 136.04 136.04 63.91
Closest atoms and distances in Å follow each position.
Fractional positions:
Re (0.2500, 0.7500, 0.5000)  4 Re 2.63, 4 Ni 2.81, 4 Ag 2.81
Re (0.7500, 0.2500, 0.5000)  4 Re 2.63, 4 Ni 2.81, 4 Ag 2.81
Ni (0.0000, 0.0000, 0.0000)  4 Ag 2.63, 8 Re 2.81
Ag (0.5000, 0.5000, 0.0000)  4 Ni 2.63, 8 Re 2.81

Values from the calculation:
E above lowest polymorph (eV per formula unit): 0.80

Entry 3:
A plane-wave DFT calculation with GGA-PBE was carried out for a relaxed structure of TiRe2NiAg.

Lattice parameters (Å, degrees): 4.4364 4.4364 4.5691 90.00 90.00 90.00
Closest atoms and distances in Å follow each position.
Fractional positions:
Ti (0.0000, 0.0000, 0.0000)  4 Ag 3.14, 8 Re 3.18
Re (0.0000, 0.5000, 0.5000)  2 Ni 2.22
Re (0.5000, 0.0000, 0.5000)  2 Ni 2.22
Ni (0.5000, 0.5000, 0.5000)  4 Re 2.22, 2 Ag 2.28
Ag (0.5000, 0.5000, 0.0000)  2 Ni 2.28

Entry 4:
A plane-wave DFT calculation with GGA-PBE was carried out for a relaxed structure of NiAgRh.

Lattice parameters (Å, degrees): 2.7404 2.7404 6.6855 90.00 90.00 120.00
Closest atoms and distances in Å follow each position.
Fractional positions:
Ni (0.0000, 0.0000, 0.0000)  3 Rh 2.55, 6 Ni 2.74, 3 Ag 2.75
Ag (0.3333, 0.6667, 0.6639)  6 Ag 2.74, 3 Ni 2.75, 3 Rh 2.91
Rh (0.6667, 0.3333, 0.2991)  3 Ni 2.55, 6 Rh 2.74

Values from the calculation:
E above lowest polymorph (eV per formula unit): 0.01

| no. | ΔE_f (eV per atom) | energy (eV per atom) | DOS at the Fermi energy (states/eV/cell) |
| --- | --- | --- | --- |
| 1 | 0.405 | -7.98 | 3.47 |
| 2 | 0.506 | -7.88 | 3.25 |
| 3 | 1.361 | -6.92 | 8.30 |
| 4 | 0.193 | -5.13 | 4.04 |